Entry 1:
The following is a PBE-GGA calculation of a relaxed Ce13Rh2 crystal, from Alexandria.

The structure in POSCAR format:
```
Ce13Rh2
1.0
6.1343 0.0000 0.0000
1.7615 8.1838 0.0000
1.9163 3.6302 7.4504
Ce Rh
13 2
Cartesian
0.0000 0.0000 0.0000
1.7419 3.2446 3.8040
2.7706 6.2460 5.0580
2.5426 3.2219 0.1397
3.7456 6.2548 1.7616
4.9795 8.7907 1.6264
5.3877 8.3756 4.3513
4.4244 3.4384 3.0991
4.8326 3.0232 5.8239
6.0666 5.5592 5.6888
7.2695 8.5921 7.3107
7.0415 5.5680 2.3923
8.0702 8.5694 3.6463
3.7898 9.4145 6.4209
6.0224 2.3995 1.0295
```

space-group type = P-1
DFT formation energy = -1.72 eV per formula unit

=====

Entry 2:
The following is a PBE-GGA calculation of a relaxed Pu3TeH crystal, from Alexandria.

The structure in POSCAR format:
```
Pu3TeH
1.0
4.7540 0.0000 0.0000
0.0000 4.7540 0.0000
0.0000 0.0000 4.7540
Pu Te H
3 1 1
Cartesian
0.0000 0.0000 2.3770
0.0000 2.3770 0.0000
2.3770 0.0000 0.0000
2.3770 2.3770 2.3770
0.0000 0.0000 0.0000
```

DFT total energy = -10.253 eV/atom
space-group type = Pm-3m